Material: NaH
Method: DFT, PBE
State: relaxed

As for the polymorph energy (0 for the lowest one): 59 meV/atom. For the total DFT energy (no corrections), the calculation gives -2.483 eV per atom.

It has space group Pm-3n (No. 223), with a = 6.3294 Å, b = 6.3294 Å, c = 6.3294 Å, α = 90.00°, β = 90.00° and γ = 90.00°. The distinct sites, in fractional coordinates, are Na at (0.0000, 0.2500, 0.5000) and H at (0.0000, 0.5000, 0.2500).